# 1
Computed, not measured: a relaxed Cr3CdCl crystal at the GGA-PBE level of DFT. Values from VASP.

total moment	2.765	μB/atom
ΔE_f (raw)	128.4	kJ per mole of atoms
DOS(E_F)	2.953	states/eV/cell
DFT total energy	-0.1836	hartree per atom
energy above the most stable polymorph in this dataset	0.506	eV/atom

The structure in Quantum ESPRESSO input format:
```
&SYSTEM
  ibrav = 0, nat = 5, ntyp = 3
/
ATOMIC_SPECIES
Cr 52.00 Cr.upf
Cl 35.45 Cl.upf
Cd 112.41 Cd.upf
ATOMIC_POSITIONS crystal
Cr 0.5000 0.0000 0.0000
Cr 0.0000 0.0000 0.5000
Cr 0.0000 0.5000 0.0000
Cl 0.5000 0.5000 0.5000
Cd 0.0000 0.0000 0.0000
CELL_PARAMETERS angstrom
5.2140 0.0000 0.0000
0.0000 5.2140 0.0000
0.0000 0.0000 5.2140
```

=====

# 2
Computed, not measured: a relaxed Ca3Dy2NpP6 crystal at the GGA-PBE level of DFT. Values from VASP.

total moment	0.082	μB/atom
DOS(E_F)	1.655	states/eV/cell
ΔE_f	-1395	kJ/mol of formula units
DFT total energy	-0.2299	hartree per atom

The structure in Quantum ESPRESSO input format:
```
&SYSTEM
  ibrav = 0, nat = 12, ntyp = 4
/
ATOMIC_SPECIES
P 30.97 P.upf
Ca 40.08 Ca.upf
Dy 162.50 Dy.upf
Np 237.00 Np.upf
ATOMIC_POSITIONS crystal
P 0.9240 0.6066 0.7709
P 0.2397 0.2397 0.7732
P 0.3934 0.0760 0.2291
P 0.0760 0.3934 0.2291
P 0.7603 0.7603 0.2268
P 0.6066 0.9240 0.7709
Ca 0.5000 0.5000 0.5000
Ca 0.1697 0.8303 0.5000
Ca 0.8303 0.1697 0.5000
Dy 0.3338 0.6662 0.0000
Dy 0.6662 0.3338 0.0000
Np 0.0000 0.0000 0.0000
CELL_PARAMETERS angstrom
6.9887 0.0000 -0.0001
-3.4927 6.0534 -0.0001
-1.1660 -2.0190 6.6605
```

=====

# 3
Computed, not measured: a relaxed BaTe3 crystal at the GGA-PBE level of DFT. Values from VASP.

total moment	0.000	μB/atom
ΔE_f (raw)	-77.3	kJ per mole of atoms
DOS(E_F)	0.423	states/eV/cell
DFT total energy	-0.1337	hartree per atom

The structure in Quantum ESPRESSO input format:
```
&SYSTEM
  ibrav = 0, nat = 4, ntyp = 2
/
ATOMIC_SPECIES
Te 127.60 Te.upf
Ba 137.33 Ba.upf
ATOMIC_POSITIONS crystal
Te 0.5000 0.3952 0.2460
Te 0.5000 0.6048 0.7540
Te 0.0000 0.5000 0.5000
Ba 0.0000 0.0000 0.0000
CELL_PARAMETERS angstrom
-4.1597 -1.0541 -0.3803
1.0782 -2.9353 -3.6582
1.5208 -6.9947 2.7528
```

=====

# 4
Computed, not measured: a relaxed SrCaSn2Hg2 crystal at the GGA-PBE level of DFT. Values from VASP.

total moment	0.000	μB/atom
DOS(E_F)	1.254	states/eV/cell
ΔE_f	-297	kJ/mol of formula units
DFT total energy	-0.0941	hartree per atom

The structure in Quantum ESPRESSO input format:
```
&SYSTEM
  ibrav = 0, nat = 6, ntyp = 4
/
ATOMIC_SPECIES
Sr 87.62 Sr.upf
Sn 118.71 Sn.upf
Hg 200.59 Hg.upf
Ca 40.08 Ca.upf
ATOMIC_POSITIONS crystal
Sr 0.0000 0.0000 0.0000
Sn 0.6667 0.3333 0.7556
Sn 0.3333 0.6667 0.2444
Hg 0.3333 0.6667 0.6883
Hg 0.6667 0.3333 0.3117
Ca 0.0000 0.0000 0.5000
CELL_PARAMETERS angstrom
4.9149 0.0000 0.0000
-2.4574 4.2564 0.0000
0.0000 0.0000 8.3468
```

=====

# 5
Computed, not measured: a relaxed ReSb5 crystal at the GGA-PBE level of DFT. Values from VASP.

total moment	0.681	μB/atom
ΔE_f (raw)	115.0	kJ per mole of atoms
DOS(E_F)	4.958	states/eV/cell
DFT total energy	-0.1587	hartree per atom
energy above the most stable polymorph in this dataset	0.976	eV/atom

The structure in Quantum ESPRESSO input format:
```
&SYSTEM
  ibrav = 0, nat = 6, ntyp = 2
/
ATOMIC_SPECIES
Sb 121.76 Sb.upf
Re 186.21 Re.upf
ATOMIC_POSITIONS crystal
Sb 0.0000 0.5000 0.5000
Sb 0.6667 0.3333 0.0000
Sb 0.3333 0.6667 0.0000
Sb 0.5000 0.0000 0.5000
Sb 0.5000 0.5000 0.5000
Re 0.0000 0.0000 0.0000
CELL_PARAMETERS angstrom
3.5871 1.2946 -4.6224
-4.5028 -3.8916 -0.6999
-3.4100 4.2095 -1.4673
```

=====

# 6
Computed, not measured: a relaxed Cs2CoCl crystal at the GGA-PBE level of DFT. Values from VASP.

total moment	0.500	μB/atom
ΔE_f (raw)	-16.4	kJ per mole of atoms
DOS(E_F)	0.000	states/eV/cell
DFT total energy	-0.1042	hartree per atom

The structure in Quantum ESPRESSO input format:
```
&SYSTEM
  ibrav = 0, nat = 4, ntyp = 3
/
ATOMIC_SPECIES
Cs 132.91 Cs.upf
Cl 35.45 Cl.upf
Co 58.93 Co.upf
ATOMIC_POSITIONS crystal
Cs 0.2500 0.2500 0.2500
Cs 0.7500 0.7500 0.7500
Cl 0.0000 0.0000 0.0000
Co 0.5000 0.5000 0.5000
CELL_PARAMETERS angstrom
5.5284 -0.5788 2.7079
1.4623 3.5648 4.8358
0.4315 -2.4774 5.6486
```

=====

# 7
Computed, not measured: a relaxed LiLa2Zn12Cu3 crystal at the GGA-PBE level of DFT. Values from VASP.

total moment	0.000	μB/atom
DOS(E_F)	7.985	states/eV/cell
ΔE_f	-10	kJ/mol of formula units
DFT total energy	-0.0805	hartree per atom

The structure in Quantum ESPRESSO input format:
```
&SYSTEM
  ibrav = 0, nat = 18, ntyp = 4
/
ATOMIC_SPECIES
Zn 65.41 Zn.upf
Cu 63.55 Cu.upf
La 138.91 La.upf
Li 6.94 Li.upf
ATOMIC_POSITIONS crystal
Zn 0.1947 0.7275 0.1947
Zn 0.5662 0.5662 0.1646
Zn 0.1947 0.1947 0.7275
Zn 0.2725 0.8053 0.8053
Zn 0.5662 0.1646 0.5662
Zn 0.8354 0.4338 0.4338
Zn 0.8053 0.2725 0.8053
Zn 0.7275 0.1947 0.1947
Zn 0.1646 0.5662 0.5662
Zn 0.4338 0.4338 0.8354
Zn 0.8053 0.8053 0.2725
Zn 0.4338 0.8354 0.4338
Cu 0.0000 0.5000 0.0000
Cu 0.5000 0.0000 0.0000
Cu 0.0000 0.0000 0.5000
La 0.2440 0.2440 0.2440
La 0.7560 0.7560 0.7560
Li 0.0000 0.0000 0.0000
CELL_PARAMETERS angstrom
-2.1755 -5.3661 -3.6173
6.2383 -2.7530 -0.3421
-0.9862 -3.8138 5.5763
```

=====

# 8
Computed, not measured: a relaxed NbW2S crystal at the GGA-PBE level of DFT. Values from VASP.

total moment	0.000	μB/atom
ΔE_f (raw)	55.0	kJ per mole of atoms
DOS(E_F)	7.954	states/eV/cell
DFT total energy	-0.3475	hartree per atom

The structure in Quantum ESPRESSO input format:
```
&SYSTEM
  ibrav = 0, nat = 8, ntyp = 3
/
ATOMIC_SPECIES
W 183.84 W.upf
S 32.06 S.upf
Nb 92.91 Nb.upf
ATOMIC_POSITIONS crystal
W 0.6224 0.1250 0.2500
W 0.3750 0.3776 0.7500
W 0.8750 0.8724 0.7500
W 0.1276 0.6250 0.2500
S 0.5000 0.5000 0.0000
S 0.2500 0.7500 0.5000
Nb 0.0000 0.0000 0.0000
Nb 0.7500 0.2500 0.5000
CELL_PARAMETERS angstrom
3.6813 0.0000 0.0000
0.0000 3.6813 0.0000
1.8407 1.8407 10.0652
```

=====

# 9
Computed, not measured: a relaxed Ba5NdBi4 crystal at the GGA-PBE level of DFT. Values from VASP.

total moment	0.104	μB/atom
DOS(E_F)	4.289	states/eV/cell
ΔE_f	-735	kJ/mol of formula units
DFT total energy	-0.1379	hartree per atom

The structure in Quantum ESPRESSO input format:
```
&SYSTEM
  ibrav = 0, nat = 10, ntyp = 3
/
ATOMIC_SPECIES
Bi 208.98 Bi.upf
Ba 137.33 Ba.upf
Nd 144.24 Nd.upf
ATOMIC_POSITIONS crystal
Bi 0.0001 0.2334 0.0003
Bi 0.9999 0.7666 0.9997
Bi 0.3139 0.8144 0.6279
Bi 0.6861 0.1856 0.3721
Ba 0.1663 0.9157 0.3325
Ba 0.8335 0.5842 0.6671
Ba 0.8337 0.0843 0.6675
Ba 0.5000 0.5000 0.0000
Ba 0.1665 0.4158 0.3329
Nd 0.5000 0.0000 0.0000
CELL_PARAMETERS angstrom
-3.1408 4.0259 0.3477
-7.1987 -5.7284 1.3017
6.7119 1.1781 9.3223
```

=====

# 10
Computed, not measured: a relaxed LaHo3Al2 crystal at the GGA-PBE level of DFT. Values from VASP.

total moment	0.002	μB/atom
DOS(E_F)	11.558	states/eV/cell
ΔE_f	-111	kJ/mol of formula units
DFT total energy	-0.1672	hartree per atom
energy above the most stable polymorph in this dataset	0.069	eV/atom

The structure in Quantum ESPRESSO input format:
```
&SYSTEM
  ibrav = 0, nat = 12, ntyp = 3
/
ATOMIC_SPECIES
Al 26.98 Al.upf
Ho 164.93 Ho.upf
La 138.91 La.upf
ATOMIC_POSITIONS crystal
Al 0.5180 0.0361 0.8797
Al 0.4820 0.9639 0.1203
Al 0.2293 0.4586 0.8540
Al 0.7707 0.5414 0.1460
Ho 0.0630 0.1260 0.4104
Ho 0.3124 0.6249 0.6149
Ho 0.9370 0.8740 0.5896
Ho 0.3829 0.7658 0.2946
Ho 0.6171 0.2342 0.7054
Ho 0.6876 0.3751 0.3851
La 0.1323 0.2646 0.0790
La 0.8677 0.7354 0.9210
CELL_PARAMETERS angstrom
5.2697 0.0000 0.0000
-2.6349 8.7122 -0.8361
0.0000 -4.6062 7.6545
```

=====

# 11
Computed, not measured: a relaxed Ho2Ag4Pd3 crystal at the GGA-PBE level of DFT. Values from VASP.

total moment	0.000	μB/atom
DOS(E_F)	4.105	states/eV/cell
ΔE_f	-420	kJ/mol of formula units
DFT total energy	-0.1653	hartree per atom

The structure in Quantum ESPRESSO input format:
```
&SYSTEM
  ibrav = 0, nat = 9, ntyp = 3
/
ATOMIC_SPECIES
Ho 164.93 Ho.upf
Ag 107.87 Ag.upf
Pd 106.42 Pd.upf
ATOMIC_POSITIONS crystal
Ho 0.6694 0.8961 0.7651
Ho 0.3306 0.1039 0.2349
Ag 0.6674 0.5550 0.1102
Ag 0.9980 0.6659 0.3381
Ag 0.0020 0.3341 0.6619
Ag 0.3326 0.4450 0.8898
Pd 0.3389 0.7669 0.5552
Pd 0.0000 0.0000 0.0000
Pd 0.6611 0.2331 0.4448
CELL_PARAMETERS angstrom
-0.1902 0.4342 4.1815
4.6196 -1.2227 2.4548
3.5708 7.5457 1.4965
```

=====

# 12
Computed, not measured: a relaxed ZrNbSi2 crystal at the GGA-PBE level of DFT. Values from VASP.

total moment	0.000	μB/atom
ΔE_f (raw)	-45.9	kJ per mole of atoms
DOS(E_F)	1.984	states/eV/cell
DFT total energy	-0.2882	hartree per atom
energy above the most stable polymorph in this dataset	0.259	eV/atom

The structure in Quantum ESPRESSO input format:
```
&SYSTEM
  ibrav = 0, nat = 4, ntyp = 3
/
ATOMIC_SPECIES
Si 28.09 Si.upf
Nb 92.91 Nb.upf
Zr 91.22 Zr.upf
ATOMIC_POSITIONS crystal
Si 0.2542 0.2542 0.2373
Si 0.7458 0.7458 0.7627
Nb 0.0000 0.0000 0.0000
Zr 0.5000 0.5000 0.5000
CELL_PARAMETERS angstrom
-3.3734 -0.5393 -1.4429
-1.4073 -3.4255 -0.1952
-4.0875 -0.6143 5.0204
```

=====

# 13
Computed, not measured: a relaxed La2ScP crystal at the GGA-PBE level of DFT. Values from VASP.

total moment	0.000	μB/atom
DOS(E_F)	4.565	states/eV/cell
ΔE_f	-255	kJ/mol of formula units
DFT total energy	-0.2227	hartree per atom

The structure in Quantum ESPRESSO input format:
```
&SYSTEM
  ibrav = 0, nat = 4, ntyp = 3
/
ATOMIC_SPECIES
P 30.97 P.upf
La 138.91 La.upf
Sc 44.96 Sc.upf
ATOMIC_POSITIONS crystal
P 0.8186 0.1814 0.0000
La 0.1013 0.8987 0.0000
La 0.3969 0.6031 0.5000
Sc 0.6919 0.3081 0.5000
CELL_PARAMETERS angstrom
2.0971 -5.8563 0.0000
2.0971 5.8563 0.0000
0.0000 0.0000 4.4552
```

=====

# 14
Computed, not measured: a relaxed ZnPt6Au crystal at the GGA-PBE level of DFT. Values from VASP.

total moment	0.000	μB/atom
DOS(E_F)	11.527	states/eV/cell
ΔE_f	-100	kJ/mol of formula units
DFT total energy	-0.1922	hartree per atom

The structure in Quantum ESPRESSO input format:
```
&SYSTEM
  ibrav = 0, nat = 8, ntyp = 3
/
ATOMIC_SPECIES
Pt 195.08 Pt.upf
Zn 65.41 Zn.upf
Au 196.97 Au.upf
ATOMIC_POSITIONS crystal
Pt 0.5000 0.0000 0.7407
Pt 0.5000 0.5000 0.0000
Pt 0.0000 0.5000 0.2593
Pt 0.0000 0.5000 0.7407
Pt 0.5000 0.5000 0.5000
Pt 0.5000 0.0000 0.2593
Zn 0.0000 0.0000 0.5000
Au 0.0000 0.0000 0.0000
CELL_PARAMETERS angstrom
3.9553 0.0000 0.0000
0.0000 3.9553 0.0000
0.0000 0.0000 8.0345
```

=====

# 15
Computed, not measured: a relaxed GaGe2Pt3 crystal at the GGA-PBE level of DFT. Values from VASP.

total moment	0.000	μB/atom
DOS(E_F)	5.066	states/eV/cell
ΔE_f	-241	kJ/mol of formula units
DFT total energy	-0.2014	hartree per atom

The structure in Quantum ESPRESSO input format:
```
&SYSTEM
  ibrav = 0, nat = 12, ntyp = 3
/
ATOMIC_SPECIES
Ga 69.72 Ga.upf
Ge 72.64 Ge.upf
Pt 195.08 Pt.upf
ATOMIC_POSITIONS crystal
Ga 0.0611 0.9388 0.9388
Ga 0.5611 0.0612 0.0612
Ge 0.0366 0.1092 0.5153
Ge 0.5366 0.8908 0.4847
Ge 0.5366 0.4847 0.8908
Ge 0.0366 0.5153 0.1092
Pt 0.9468 0.5196 0.7635
Pt 0.4468 0.2365 0.4804
Pt 0.4468 0.4804 0.2365
Pt 0.4300 0.7164 0.7164
Pt 0.9300 0.2836 0.2836
Pt 0.9468 0.7635 0.5196
CELL_PARAMETERS angstrom
-0.8592 0.1199 5.4205
-2.1911 -6.4906 -0.2037
6.6444 1.3317 1.0238
```

=====

# 16
Computed, not measured: a relaxed Li2AlRh2 crystal at the GGA-PBE level of DFT. Values from VASP.

total moment	0.000	μB/atom
DOS(E_F)	4.212	states/eV/cell
ΔE_f	-139	kJ/mol of formula units
DFT total energy	-0.1743	hartree per atom
energy above the most stable polymorph in this dataset	0.055	eV/atom

The structure in Quantum ESPRESSO input format:
```
&SYSTEM
  ibrav = 0, nat = 10, ntyp = 3
/
ATOMIC_SPECIES
Li 6.94 Li.upf
Rh 102.91 Rh.upf
Al 26.98 Al.upf
ATOMIC_POSITIONS crystal
Li 0.3427 0.1573 0.5000
Li 0.6573 0.8427 0.5000
Li 0.8427 0.3427 0.5000
Li 0.1573 0.6573 0.5000
Rh 0.1446 0.3554 0.0000
Rh 0.8554 0.6446 0.0000
Rh 0.6446 0.1446 0.0000
Rh 0.3554 0.8554 0.0000
Al 0.0000 0.0000 0.0000
Al 0.5000 0.5000 0.0000
CELL_PARAMETERS angstrom
-3.4420 0.2048 -5.4493
-0.4409 -6.4334 0.0367
-2.8511 0.2057 1.8086
```